# 1
Tl2TeBr8: relaxed, PBE.

Output
formation energy from raw total energies: -0.405 eV/atom
total energy: -2.3370 eV per atom

Geometry as CIF:
```
data_Tl2TeBr8
_chemical_formula_sum 'Tl2 Te1 Br8'
_cell_length_a 7.149
_cell_length_b 8.899
_cell_length_c 8.899
_cell_angle_alpha 94.03
_cell_angle_beta 73.18
_cell_angle_gamma 73.18
_space_group_name_H-M_alt 'P 1'
_space_group_IT_number 1
_space_group_name_Hall 'P 1'
loop_
_atom_site_label
_atom_site_fract_x
_atom_site_fract_y
_atom_site_fract_z
Br1 0.073 0.981 0.284
Br2 0.758 0.464 0.464
Br3 0.242 0.536 0.536
Br4 0.073 0.284 0.981
Tl1 0.842 0.701 0.701
Br5 0.927 0.716 0.019
Br6 0.578 0.161 0.161
Br7 0.422 0.839 0.839
Te1 0.000 0.000 0.000
Tl2 0.158 0.299 0.299
Br8 0.927 0.019 0.716
```

***

# 2
TlTe2Br: relaxed, PBE.

Output
formation energy from raw total energies: -0.083 eV/atom
total energy: -2.6639 eV per atom
energy above the most stable polymorph in this dataset: 238 meV per atom

Geometry as CIF:
```
data_TlTe2Br
_chemical_formula_sum 'Tl1 Te2 Br1'
_cell_length_a 7.663
_cell_length_b 7.663
_cell_length_c 3.128
_cell_angle_alpha 89.87
_cell_angle_beta 89.87
_cell_angle_gamma 132.83
_space_group_name_H-M_alt 'P 1'
_space_group_IT_number 1
_space_group_name_Hall 'P 1'
loop_
_atom_site_label
_atom_site_fract_x
_atom_site_fract_y
_atom_site_fract_z
Br1 0.000 0.500 0.500
Te1 0.000 0.000 0.000
Te2 0.500 0.500 0.000
Tl1 0.500 0.000 0.500
```

***

# 3
TlTeBr4: relaxed, PBE.

Output
formation energy from raw total energies: -0.467 eV/atom
total energy: -2.5005 eV per atom
energy above the most stable polymorph in this dataset: 2 meV per atom

Geometry as CIF:
```
data_TlTeBr4
_chemical_formula_sum 'Tl2 Te2 Br8'
_cell_length_a 8.202
_cell_length_b 7.915
_cell_length_c 8.847
_cell_angle_alpha 108.43
_cell_angle_beta 109.69
_cell_angle_gamma 106.44
_space_group_name_H-M_alt 'P 1'
_space_group_IT_number 1
_space_group_name_Hall 'P 1'
loop_
_atom_site_label
_atom_site_fract_x
_atom_site_fract_y
_atom_site_fract_z
Br1 0.826 0.082 0.565
Br2 0.761 0.517 0.435
Br3 0.616 0.798 0.047
Te1 0.906 0.156 0.311
Tl1 0.632 0.382 0.763
Br4 0.931 0.249 0.047
Tl2 0.368 0.618 0.237
Br5 0.384 0.202 0.953
Br6 0.069 0.751 0.953
Br7 0.174 0.918 0.435
Te2 0.094 0.844 0.689
Br8 0.239 0.483 0.565
```

***

# 4
Tl5Te2Br2: relaxed, PBE.

Output
formation energy from raw total energies: -0.482 eV/atom
total energy: -2.8664 eV per atom

Geometry as CIF:
```
data_Tl5Te2Br2
_chemical_formula_sum 'Tl10 Te4 Br4'
_cell_length_a 8.786
_cell_length_b 8.813
_cell_length_c 9.505
_cell_angle_alpha 90.00
_cell_angle_beta 62.47
_cell_angle_gamma 90.00
_space_group_name_H-M_alt 'P 1'
_space_group_IT_number 1
_space_group_name_Hall 'P 1'
loop_
_atom_site_label
_atom_site_fract_x
_atom_site_fract_y
_atom_site_fract_z
Br1 0.694 0.500 0.611
Tl1 0.475 0.159 0.728
Te1 0.360 0.859 0.000
Tl2 0.204 0.159 0.272
Tl3 0.025 0.659 0.272
Te2 0.860 0.641 0.000
Tl4 0.704 0.341 0.272
Tl5 0.500 0.500 0.000
Br2 0.194 0.000 0.611
Tl6 0.975 0.341 0.728
Te3 0.140 0.359 0.000
Tl7 0.000 0.000 0.000
Br3 0.306 0.500 0.389
Tl8 0.796 0.841 0.728
Tl9 0.296 0.659 0.728
Tl10 0.525 0.841 0.272
Te4 0.640 0.141 0.000
Br4 0.806 0.000 0.389
```

***

# 5
TlTe2Br: relaxed, PBE.

Output
formation energy from raw total energies: 0.087 eV/atom
total energy: -2.4934 eV per atom
energy above the most stable polymorph in this dataset: 408 meV per atom

Geometry as CIF:
```
data_TlTe2Br
_chemical_formula_sum 'Tl1 Te2 Br1'
_cell_length_a 10.900
_cell_length_b 10.900
_cell_length_c 10.900
_cell_angle_alpha 19.71
_cell_angle_beta 19.71
_cell_angle_gamma 19.71
_space_group_name_H-M_alt 'P 1'
_space_group_IT_number 1
_space_group_name_Hall 'P 1'
loop_
_atom_site_label
_atom_site_fract_x
_atom_site_fract_y
_atom_site_fract_z
Te1 0.914 0.914 0.914
Te2 0.086 0.086 0.086
Tl1 0.500 0.500 0.500
Br1 0.000 0.000 0.000
```

***

# 6
TlTe2Br: relaxed, PBE.

Output
formation energy from raw total energies: -0.072 eV/atom
total energy: -2.6526 eV per atom
energy above the most stable polymorph in this dataset: 249 meV per atom

Geometry as CIF:
```
data_TlTe2Br
_chemical_formula_sum 'Tl1 Te2 Br1'
_cell_length_a 10.364
_cell_length_b 10.364
_cell_length_c 10.364
_cell_angle_alpha 21.79
_cell_angle_beta 21.79
_cell_angle_gamma 21.79
_space_group_name_H-M_alt 'P 1'
_space_group_IT_number 1
_space_group_name_Hall 'P 1'
loop_
_atom_site_label
_atom_site_fract_x
_atom_site_fract_y
_atom_site_fract_z
Te1 0.994 0.994 0.994
Tl1 0.491 0.491 0.491
Br1 0.756 0.756 0.756
Te2 0.259 0.259 0.259
```

***

# 7
Tl5Te2Br: relaxed, PBE.

Output
formation energy from raw total energies: -0.397 eV/atom
total energy: -2.8705 eV per atom
energy above the most stable polymorph in this dataset: 42 meV per atom

Geometry as CIF:
```
data_Tl5Te2Br
_chemical_formula_sum 'Tl20 Te8 Br4'
_cell_length_a 8.964
_cell_length_b 9.932
_cell_length_c 13.141
_cell_angle_alpha 90.00
_cell_angle_beta 90.00
_cell_angle_gamma 90.00
_space_group_name_H-M_alt 'P 1'
_space_group_IT_number 1
_space_group_name_Hall 'P 1'
loop_
_atom_site_label
_atom_site_fract_x
_atom_site_fract_y
_atom_site_fract_z
Tl1 0.844 0.250 0.174
Tl2 0.784 0.750 0.213
Br1 0.851 0.750 0.963
Te1 0.492 0.490 0.812
Tl3 0.284 0.250 0.287
Tl4 0.830 0.442 0.899
Te2 0.508 0.510 0.188
Tl5 0.716 0.750 0.713
Tl6 0.488 0.750 0.987
Tl7 0.670 0.442 0.399
Te3 0.008 0.490 0.312
Te4 0.992 0.510 0.688
Tl8 0.170 0.942 0.101
Tl9 0.170 0.558 0.101
Tl10 0.670 0.058 0.399
Tl11 0.830 0.058 0.899
Tl12 0.344 0.750 0.326
Tl13 0.156 0.750 0.826
Te5 0.492 0.010 0.812
Tl14 0.988 0.250 0.513
Te6 0.992 0.990 0.688
Tl15 0.330 0.942 0.601
Br2 0.149 0.250 0.037
Br3 0.351 0.250 0.537
Tl16 0.012 0.750 0.487
Te7 0.008 0.010 0.312
Br4 0.649 0.750 0.463
Tl17 0.656 0.250 0.674
Te8 0.508 0.990 0.188
Tl18 0.330 0.558 0.601
Tl19 0.512 0.250 0.013
Tl20 0.216 0.250 0.787
```

***

# 8
TlTeBr4: relaxed, PBE.

Output
formation energy from raw total energies: 0.339 eV/atom
total energy: -1.6943 eV per atom
energy above the most stable polymorph in this dataset: 809 meV per atom

Geometry as CIF:
```
data_TlTeBr4
_chemical_formula_sum 'Tl1 Te1 Br4'
_cell_length_a 6.529
_cell_length_b 6.529
_cell_length_c 6.529
_cell_angle_alpha 60.00
_cell_angle_beta 60.00
_cell_angle_gamma 60.00
_space_group_name_H-M_alt 'P 1'
_space_group_IT_number 1
_space_group_name_Hall 'P 1'
loop_
_atom_site_label
_atom_site_fract_x
_atom_site_fract_y
_atom_site_fract_z
Br1 0.875 0.375 0.375
Te1 0.750 0.750 0.750
Tl1 0.000 0.000 0.000
Br2 0.375 0.875 0.375
Br3 0.375 0.375 0.375
Br4 0.375 0.375 0.875
```